(1)
First-principles (PBE-GGA) data for a relaxed SiIrPt2 crystal, as listed in the Alexandria database.

Unit cell a=2.887 b=4.080 c=10.320 alpha=90.00 beta=90.00 gamma=90.00
Space group Immm (No. 71)
Inequivalent atoms, fractional coordinates:
Si: 0.000 0.000 0.000 [2 per cell]
Ir: 0.000 0.000 0.500 [2 per cell]
Pt: 0.000 0.500 0.309 [4 per cell]

=====

(2)
First-principles (PBE-GGA) data for a relaxed SiIrPt2 crystal, as listed in the Alexandria database.

Unit cell a=2.8366 b=2.8366 c=25.3329 alpha=90.00 beta=90.00 gamma=120.00
Space group R3m (No. 160, hexagonal axes)
Inequivalent atoms, fractional coordinates:
Si: 0.0000 0.0000 0.0000 [3 per cell]
Ir: 0.0000 0.0000 0.2642 [3 per cell]
Pt: 0.0000 0.0000 0.5031 [3 per cell]
Pt: 0.0000 0.0000 0.7411 [3 per cell]

=====

(3)
First-principles (PBE-GGA) data for a relaxed SiIr2Pt crystal, as listed in the Alexandria database.

Unit cell a=6.182 b=6.182 c=6.182 alpha=90.00 beta=90.00 gamma=90.00
Space group F-43m (No. 216)
Inequivalent atoms, fractional coordinates:
Si: 0.000 0.000 0.000 [4 per cell]
Ir: 0.000 0.000 0.500 [4 per cell]
Ir: 0.250 0.250 0.750 [4 per cell]
Pt: 0.250 0.250 0.250 [4 per cell]

=====

(4)
First-principles (PBE-GGA) data for a relaxed Si2Ir2Pt crystal, as listed in the Alexandria database.

Unit cell a=7.076 b=7.076 c=2.808 alpha=90.00 beta=90.00 gamma=90.00
Space group P4/mbm (No. 127)
Inequivalent atoms, fractional coordinates:
Si: 0.153 0.347 0.000 [4 per cell]
Ir: 0.143 0.643 0.500 [4 per cell]
Pt: 0.000 0.000 0.000 [2 per cell]

=====

(5)
First-principles (PBE-GGA) data for a relaxed Si2IrPt crystal, as listed in the Alexandria database.

Unit cell a=3.366 b=3.366 c=5.082 alpha=90.00 beta=90.00 gamma=90.00
Space group P4mm (No. 99)
Inequivalent atoms, fractional coordinates:
Si: 0.000 0.000 0.000 [1 per cell]
Si: 0.500 0.500 0.324 [1 per cell]
Ir: 0.000 0.000 0.476 [1 per cell]
Pt: 0.500 0.500 0.844 [1 per cell]

=====

(6)
First-principles (PBE-GGA) data for a relaxed SiIrPt2 crystal, as listed in the Alexandria database.

Unit cell a=2.790 b=4.578 c=4.672 alpha=90.00 beta=90.00 gamma=90.00
Space group Pmmm (No. 47)
Inequivalent atoms, fractional coordinates:
Si: 0.000 0.000 0.000 [1 per cell]
Ir: 0.500 0.500 0.000 [1 per cell]
Pt: 0.000 0.500 0.500 [1 per cell]
Pt: 0.500 0.000 0.500 [1 per cell]

=====

(7)
First-principles (PBE-GGA) data for a relaxed SiIrPt2 crystal, as listed in the Alexandria database.

Unit cell a=4.907 b=4.907 c=13.342 alpha=90.00 beta=90.00 gamma=90.00
Space group I-42d (No. 122)
Inequivalent atoms, fractional coordinates:
Si: 0.000 0.000 0.000 [4 per cell]
Ir: 0.000 0.000 0.500 [4 per cell]
Pt: 0.218 0.250 0.125 [8 per cell]

=====

(8)
First-principles (PBE-GGA) data for a relaxed Si2IrPt crystal, as listed in the Alexandria database.

Unit cell a=6.087 b=6.087 c=6.087 alpha=90.00 beta=90.00 gamma=90.00
Space group Fm-3m (No. 225)
Inequivalent atoms, fractional coordinates:
Si: 0.250 0.250 0.250 [8 per cell]
Ir: 0.000 0.000 0.000 [4 per cell]
Pt: 0.000 0.000 0.500 [4 per cell]

=====

(9)
First-principles (PBE-GGA) data for a relaxed Si2IrPt crystal, as listed in the Alexandria database.

Unit cell a=2.861 b=4.024 c=5.218 alpha=90.00 beta=90.00 gamma=90.00
Space group Pmmm (No. 47)
Inequivalent atoms, fractional coordinates:
Si: 0.000 0.000 0.000 [1 per cell]
Si: 0.500 0.000 0.500 [1 per cell]
Ir: 0.000 0.500 0.500 [1 per cell]
Pt: 0.500 0.500 0.000 [1 per cell]

=====

(10)
First-principles (PBE-GGA) data for a relaxed SiIr2Pt crystal, as listed in the Alexandria database.

Unit cell a=5.311 b=9.413 c=2.752 alpha=90.00 beta=120.80 gamma=90.00
Space group C2/m (No. 12)
Inequivalent atoms, fractional coordinates:
Si: 0.000 0.000 0.000 [2 per cell]
Ir: 0.250 0.250 0.000 [4 per cell]
Pt: 0.000 0.500 0.000 [2 per cell]

=====

(11)
First-principles (PBE-GGA) data for a relaxed Si2IrPt crystal, as listed in the Alexandria database.

Unit cell a=2.9713 b=2.9713 c=23.0195 alpha=90.00 beta=90.00 gamma=120.00
Space group R3m (No. 160, hexagonal axes)
Inequivalent atoms, fractional coordinates:
Si: 0.0000 0.0000 0.0000 [3 per cell]
Si: 0.0000 0.0000 0.2521 [3 per cell]
Ir: 0.0000 0.0000 0.5113 [3 per cell]
Pt: 0.0000 0.0000 0.7418 [3 per cell]

=====

(12)
First-principles (PBE-GGA) data for a relaxed SiIr2Pt crystal, as listed in the Alexandria database.

Unit cell a=2.838 b=2.869 c=7.015 alpha=90.00 beta=90.00 gamma=90.00
Space group Pmmm (No. 47)
Inequivalent atoms, fractional coordinates:
Si: 0.000 0.000 0.000 [1 per cell]
Ir: 0.500 0.500 0.206 [2 per cell]
Pt: 0.000 0.000 0.500 [1 per cell]

=====

(13)
First-principles (PBE-GGA) data for a relaxed SiIr2Pt crystal, as listed in the Alexandria database.

Unit cell a=5.531 b=7.289 c=2.849 alpha=90.00 beta=90.00 gamma=90.00
Space group Cmmm (No. 65)
Inequivalent atoms, fractional coordinates:
Si: 0.000 0.000 0.000 [2 per cell]
Ir: 0.250 0.250 0.500 [4 per cell]
Pt: 0.000 0.500 0.000 [2 per cell]

=====

(14)
First-principles (PBE-GGA) data for a relaxed SiIr2Pt crystal, as listed in the Alexandria database.

Unit cell a=2.8174 b=2.8174 c=25.1449 alpha=90.00 beta=90.00 gamma=120.00
Space group R3m (No. 160, hexagonal axes)
Inequivalent atoms, fractional coordinates:
Si: 0.0000 0.0000 0.0000 [3 per cell]
Ir: 0.0000 0.0000 0.4968 [3 per cell]
Ir: 0.0000 0.0000 0.7390 [3 per cell]
Pt: 0.0000 0.0000 0.2577 [3 per cell]

=====

(15)
First-principles (PBE-GGA) data for a relaxed SiIrPt2 crystal, as listed in the Alexandria database.

Unit cell a=2.8496 b=2.8496 c=25.1970 alpha=90.00 beta=90.00 gamma=120.00
Space group R-3m (No. 166, hexagonal axes)
Inequivalent atoms, fractional coordinates:
Si: 0.0000 0.0000 0.0000 [3 per cell]
Ir: 0.0000 0.0000 0.5000 [3 per cell]
Pt: 0.0000 0.0000 0.2598 [6 per cell]

=====

What are the raw formation energy values for these records? In order: -0.28, -0.35, 0.17, -0.47, -0.58, -0.11, 0.35, -0.21, -0.10, -0.02, -0.20, -0.28, -0.17, -0.19, -0.18 eV/atom.
What are the DOS(E_F) values for these records? In order: 8.09, 6.07, 24.26, 3.52, 1.55, 3.99, 11.13, 9.86, 1.57, 5.23, 7.36, 3.68, 5.09, 8.08, 13.22 states/eV/cell.